## KMgCo2F8 (PBE+U)

Data for a relaxed structure of KMgCo2F8.

Cell: 4.964 4.934 6.570 Å, 89.87 90.12 86.19°
Site moments in Bohr magnetons follow the coordinates.
Sites, in units of the cell vectors:
K (0.000, 0.000, 0.500)  0.00
Mg (0.000, 0.000, 0.000)  0.01
Co (0.499, 0.501, 0.757)  3.05
Co (0.501, 0.499, 0.243)  3.05
F (0.216, 0.775, 0.205)  0.08
F (0.693, 0.702, 0.000)  0.09
F (0.785, 0.225, 0.204)  0.09
F (0.784, 0.225, 0.795)  0.08
F (0.307, 0.298, 0.000)  0.09
F (0.215, 0.775, 0.796)  0.09
F (0.655, 0.670, 0.500)  0.12
F (0.345, 0.330, 0.500)  0.12

Output
**Total DFT energy (no corrections)**: -4.79 eV/atom
**Space group**: No. 2